PuBeNb | PBE | optimized geometry

CIF file:
```
data_PuBeNb
_chemical_formula_sum 'Pu1 Be1 Nb1'
_space_group_name_H-M_alt 'P 1'
_space_group_IT_number 1
_cell_length_a 4.200
_cell_length_b 4.200
_cell_length_c 4.200
_cell_angle_alpha 60.00
_cell_angle_beta 60.00
_cell_angle_gamma 60.00
loop_
_space_group_symop_operation_xyz
'x,y,z'
loop_
_atom_site_label
_atom_site_type_symbol
_atom_site_fract_x
_atom_site_fract_y
_atom_site_fract_z
Pu1 Pu 0.000 0.000 0.000
Be1 Be 0.750 0.750 0.750
Nb1 Nb 0.500 0.500 0.500
```

Calculated density (g/cm³): 10.968
Crystal system: cubic
E (eV for the cell shown): -26.29
Space group: F-43m, No. 216